Below is crystalline Ba2PuTaS6 at its relaxed geometry, with properties calculated at the PBE level.

```
20
Lattice="7.0312 0.0000 0.0000 3.5156 6.0892 0.0000 3.5156 2.0297 12.4824" Properties=species:S:1:pos:R:3 pbc="T T T"
Ba 10.5469 6.0892 5.0047
Ba 3.5156 2.0297 7.4777
Ba 10.5469 6.0892 11.2731
Ba 3.5156 2.0297 1.2093
Pu 7.0312 4.0595 3.0260
Pu 7.0312 4.0595 9.4565
Ta 0.0000 0.0000 0.0000
Ta 7.0312 4.0595 6.2412
S 8.7872 3.0457 4.8052
S 7.0312 6.0871 4.8052
S 5.2753 3.0457 4.8052
S 5.2753 5.0733 7.6772
S 7.0312 2.0319 7.6772
S 8.7872 5.0733 7.6772
S 8.8396 3.0154 11.0487
S 7.0312 6.1477 11.0487
S 5.2228 3.0154 11.0487
S 5.2228 5.1036 1.4338
S 7.0312 1.9713 1.4338
S 8.8396 5.1036 1.4338
```

size of the total moment	4.99	μB/f.u.
symmetry	R-3m, No. 166
ρ	5.54	Mg/m³
uncorrected energy	-7.049	eV per atom
formation energy without anion corrections	-151.4	kJ/mol of atoms